Computed, not measured: a geometry-optimized SrTe4Pb structure at the PBE level of DFT.

Output
- energy relative to the elements, uncorrected (eV/atom) = -0.125

```
data_SrTe4Pb
_chemical_formula_sum 'Sr4 Te16 Pb4'
_cell_length_a 9.228
_cell_length_b 9.228
_cell_length_c 9.228
_cell_angle_alpha 90.00
_cell_angle_beta 90.00
_cell_angle_gamma 90.00
_space_group_name_H-M_alt 'F -4 3 m'
_space_group_IT_number 216
_space_group_name_Hall 'F -4 2 3'
loop_
_atom_site_label
_atom_site_fract_x
_atom_site_fract_y
_atom_site_fract_z
_atom_site_occupancy
Sr1 0.000 0.000 0.000 1
Te1 0.125 0.125 0.625 1
Pb1 0.250 0.250 0.250 1
```


Computed, not measured: a geometry-optimized MgBi2PtO6 structure at the PBE level of DFT.

Output
- energy relative to the elements, uncorrected (eV/atom) = -1.315

```
data_MgBi2PtO6
_chemical_formula_sum 'Mg2 Bi4 Pt2 O12'
_cell_length_a 5.578
_cell_length_b 5.832
_cell_length_c 9.596
_cell_angle_alpha 90.00
_cell_angle_beta 124.13
_cell_angle_gamma 90.00
_space_group_name_H-M_alt 'P 1 21/c 1'
_space_group_IT_number 14
loop_
_space_group_symop_operation_xyz
'x,y,z'
'-x,-y,-z'
'-x,y+1/2,-z+1/2'
'x,-y+1/2,z+1/2'
loop_
_atom_site_label
_atom_site_fract_x
_atom_site_fract_y
_atom_site_fract_z
_atom_site_occupancy
Mg1 0.000 0.000 0.000 1
Bi1 0.239 0.065 0.731 1
Pt1 0.500 0.000 0.500 1
O1 0.156 0.040 0.256 1
O2 0.209 0.680 0.025 1
O3 0.355 0.220 0.064 1
```


Computed, not measured: a geometry-optimized BeCl3 structure at the PBE level of DFT.

Output
- energy relative to the elements, uncorrected (eV/atom) = 0.427

```
data_BeCl3
_chemical_formula_sum 'Be2 Cl6'
_cell_length_a 5.288
_cell_length_b 5.288
_cell_length_c 5.288
_cell_angle_alpha 90.00
_cell_angle_beta 90.00
_cell_angle_gamma 90.00
_space_group_name_H-M_alt 'P m -3 n'
_space_group_IT_number 223
_space_group_name_Hall '-P 4n 2 3'
loop_
_atom_site_label
_atom_site_fract_x
_atom_site_fract_y
_atom_site_fract_z
_atom_site_occupancy
Be1 0.000 0.000 0.000 1
Cl1 0.000 0.250 0.500 1
```


Computed, not measured: a geometry-optimized MnGeIrW structure at the PBE level of DFT.

Output
- VASP energy (eV per atom) = -8.911

```
data_MnGeIrW
_chemical_formula_sum 'Mn4 Ge4 Ir4 W4'
_cell_length_a 6.113
_cell_length_b 6.113
_cell_length_c 6.113
_cell_angle_alpha 90.00
_cell_angle_beta 90.00
_cell_angle_gamma 90.00
_space_group_name_H-M_alt 'F -4 3 m'
_space_group_IT_number 216
_space_group_name_Hall 'F -4 2 3'
loop_
_atom_site_label
_atom_site_fract_x
_atom_site_fract_y
_atom_site_fract_z
_atom_site_occupancy
Mn1 0.000 0.000 0.000 1
Ge1 0.000 0.000 0.500 1
Ir1 0.250 0.250 0.750 1
W1 0.250 0.250 0.250 1
```


Computed, not measured: a geometry-optimized LiMnPt2 structure at the PBE level of DFT.

Output
- VASP energy (eV per atom) = -6.284

```
data_LiMnPt2
_chemical_formula_sum 'Li1 Mn1 Pt2'
_cell_length_a 4.041
_cell_length_b 4.041
_cell_length_c 3.480
_cell_angle_alpha 90.00
_cell_angle_beta 90.00
_cell_angle_gamma 90.00
_space_group_name_H-M_alt 'P 4/m m m'
_space_group_IT_number 123
_space_group_name_Hall '-P 4 2'
loop_
_atom_site_label
_atom_site_fract_x
_atom_site_fract_y
_atom_site_fract_z
_atom_site_occupancy
Li1 0.000 0.000 0.000 1
Mn1 0.500 0.500 0.000 1
Pt1 0.000 0.500 0.500 1
```


Computed, not measured: a geometry-optimized MgTaAl2 structure at the PBE level of DFT.

Output
- VASP energy (eV per atom) = -4.728

```
data_MgTaAl2
_chemical_formula_sum 'Mg4 Ta4 Al8'
_cell_length_a 7.271
_cell_length_b 7.271
_cell_length_c 5.683
_cell_angle_alpha 90.00
_cell_angle_beta 90.00
_cell_angle_gamma 90.00
_space_group_name_H-M_alt 'I -4 2 d'
_space_group_IT_number 122
_space_group_name_Hall 'I -4 2bw'
loop_
_atom_site_label
_atom_site_fract_x
_atom_site_fract_y
_atom_site_fract_z
_atom_site_occupancy
Mg1 0.000 0.000 0.000 1
Ta1 0.000 0.000 0.500 1
Al1 0.245 0.250 0.125 1
```


In order of appearance, V = 32.74 12.92 18.48 14.28 14.21 18.78 Å³ per atom.